## Ga2SiTe2 (GGA-PBE)

Data for Ga2SiTe2 after structural relaxation.

```
10
Lattice="7.639 0.000 0.000 0.000 7.639 0.000 0.000 0.000 4.096" Properties=species:S:1:pos:R:3 pbc="T T T"
Si 3.819 3.819 0.000
Si 0.000 0.000 0.000
Ga 0.923 2.896 0.000
Ga 6.716 4.743 0.000
Ga 2.896 6.716 0.000
Ga 4.743 0.923 0.000
Te 6.085 2.265 2.048
Te 2.265 1.554 2.048
Te 1.554 5.373 2.048
Te 5.373 6.085 2.048
```

magnetization: 0.00 μB per atom
formation energy without anion corrections: 281 meV per atom
space group: P4/mbm
excess energy over the best structure of this formula in the dataset: 48 meV/atom

=====

## GaSi2Te (GGA-PBE)

Data for GaSi2Te after structural relaxation.

```
8
Lattice="-4.468 3.555 -1.617 -2.241 -4.346 -3.362 -6.570 -2.326 2.149" Properties=species:S:1:pos:R:3 pbc="T T T"
Si -4.503 0.929 -0.817
Si -10.692 -2.231 -2.586
Si -3.813 -2.685 -1.843
Si -7.549 -2.247 -0.415
Ga -3.355 -0.396 -2.490
Ga -6.083 -3.534 -1.851
Te -7.196 0.417 -0.979
Te 0.000 0.000 0.000
```

magnetization: 0.00 μB per atom
formation energy without anion corrections: 328 meV per atom
space group: I-42d
excess energy over the best structure of this formula in the dataset: 0 meV/atom

=====

## GaSiTe (GGA-PBE)

Data for GaSiTe after structural relaxation.

```
12
Lattice="3.991 0.000 -0.001 0.000 10.785 0.000 -1.224 0.000 7.532" Properties=species:S:1:pos:R:3 pbc="T T T"
Ga 1.159 4.183 2.524
Ga 2.219 9.576 1.241
Ga 1.607 4.183 5.007
Ga 0.547 9.576 6.290
Te 3.089 2.526 1.652
Te -0.323 2.526 5.879
Te 0.289 7.918 2.113
Te 2.477 7.918 5.418
Si 0.361 0.455 4.444
Si 0.973 5.847 0.678
Si 1.793 5.847 6.853
Si 2.405 0.455 3.087
```

magnetization: 0.00 μB per atom
formation energy without anion corrections: -40 meV per atom
space group: C2